Record 1
A relaxed Dy5Er2Ni2Te2 crystal, computed with PBE-GGA.

Distance to the lowest polymorph of the same formula in kJ/mol of formula units: 0
DFT total energy in eV/atom: -5.186
Total magnetic moment in μB per cell: 0.00
Space-group type: Imm2 (44)

Unit cell a=9.359 b=9.359 c=9.359 alpha=156.23 beta=66.78 gamma=118.63
Positions (direct):
Dy: 0.000 0.000 0.000
Dy: 0.084 0.731 0.354
Dy: 0.377 0.731 0.646
Dy: 0.450 0.583 0.867
Dy: 0.716 0.583 0.133
Er: 0.064 0.379 0.685
Er: 0.694 0.379 0.315
Ni: 0.309 0.072 0.237
Ni: 0.835 0.072 0.763
Te: 0.337 0.337 0.000
Te: 0.735 0.235 0.500

Record 2
A relaxed Dy4Er3Ni2Te2 crystal, computed with PBE-GGA.

Distance to the lowest polymorph of the same formula in kJ/mol of formula units: 0
DFT total energy in eV/atom: -5.179
Total magnetic moment in μB per cell: 0.00
Space-group type: Imm2 (44)

Unit cell a=9.346 b=9.346 c=9.346 alpha=156.25 beta=66.82 gamma=118.57
Positions (direct):
Dy: 0.133 0.000 0.133
Dy: 0.501 0.147 0.354
Dy: 0.794 0.147 0.646
Dy: 0.867 0.000 0.867
Er: 0.111 0.797 0.315
Er: 0.417 0.417 0.000
Er: 0.482 0.797 0.685
Ni: 0.252 0.489 0.763
Ni: 0.726 0.489 0.237
Te: 0.153 0.653 0.500
Te: 0.754 0.754 0.000

Record 3
A relaxed Dy5Er2Ni2Te2 crystal, computed with PBE-GGA.

Distance to the lowest polymorph of the same formula in kJ/mol of formula units: 7
DFT total energy in eV/atom: -5.180
Total magnetic moment in μB per cell: 0.01
Space-group type: Imm2 (44)

Unit cell a=9.349 b=9.349 c=9.349 alpha=156.25 beta=66.79 gamma=118.60
Positions (direct):
Dy: 0.000 0.000 0.000
Dy: 0.285 0.417 0.867
Dy: 0.306 0.621 0.685
Dy: 0.550 0.417 0.133
Dy: 0.936 0.621 0.315
Er: 0.623 0.270 0.354
Er: 0.916 0.270 0.646
Ni: 0.165 0.928 0.237
Ni: 0.691 0.928 0.763
Te: 0.265 0.765 0.500
Te: 0.663 0.663 0.000

Record 4
A relaxed Dy4Er3Ni2Te2 crystal, computed with PBE-GGA.

Distance to the lowest polymorph of the same formula in kJ/mol of formula units: 7
DFT total energy in eV/atom: -5.173
Total magnetic moment in μB per cell: 0.01
Space-group type: Imm2 (44)

Unit cell a=9.347 b=9.347 c=9.347 alpha=156.29 beta=66.75 gamma=118.63
Positions (direct):
Dy: 0.111 0.797 0.315
Dy: 0.133 0.000 0.133
Dy: 0.482 0.797 0.685
Dy: 0.867 0.000 0.867
Er: 0.418 0.418 0.000
Er: 0.501 0.147 0.354
Er: 0.794 0.147 0.646
Ni: 0.253 0.490 0.763
Ni: 0.727 0.490 0.237
Te: 0.153 0.653 0.500
Te: 0.754 0.754 0.000

Record 5
A relaxed Dy4ErTm2Ni2Te2 crystal, computed with PBE-GGA.

Distance to the lowest polymorph of the same formula in kJ/mol of formula units: 10
DFT total energy in eV/atom: -5.155
Total magnetic moment in μB per cell: 0.01
Space-group type: Imm2 (44)

Unit cell a=9.343 b=9.343 c=9.343 alpha=156.34 beta=66.82 gamma=118.53
Positions (direct):
Dy: 0.112 0.798 0.315
Dy: 0.132 0.000 0.132
Dy: 0.483 0.798 0.685
Dy: 0.868 0.000 0.868
Er: 0.419 0.419 0.000
Tm: 0.502 0.147 0.354
Tm: 0.793 0.147 0.646
Ni: 0.255 0.491 0.764
Ni: 0.727 0.491 0.236
Te: 0.154 0.654 0.500
Te: 0.754 0.754 0.000

Record 6
A relaxed Dy2Er2Tm3Ni2Te2 crystal, computed with PBE-GGA.

Distance to the lowest polymorph of the same formula in kJ/mol of formula units: 11
DFT total energy in eV/atom: -5.138
Total magnetic moment in μB per cell: 0.01
Space-group type: Imm2 (44)

Unit cell a=9.270 b=9.270 c=9.270 alpha=156.19 beta=66.90 gamma=118.52
Positions (direct):
Dy: 0.185 0.000 0.185
Dy: 0.815 0.000 0.815
Er: 0.571 0.204 0.367
Er: 0.837 0.204 0.633
Tm: 0.121 0.621 0.500
Tm: 0.205 0.351 0.854
Tm: 0.497 0.351 0.146
Ni: 0.430 0.693 0.738
Ni: 0.955 0.693 0.262
Te: 0.458 0.958 0.500
Te: 0.856 0.856 0.000

Record 7
A relaxed Dy2Er2Tm3Ni2Te2 crystal, computed with PBE-GGA.

Distance to the lowest polymorph of the same formula in kJ/mol of formula units: 0
DFT total energy in eV/atom: -5.148
Total magnetic moment in μB per cell: 0.01
Space-group type: Imm2 (44)

Unit cell a=9.275 b=9.275 c=9.275 alpha=156.19 beta=66.89 gamma=118.53
Positions (direct):
Dy: 0.146 0.000 0.146
Dy: 0.854 0.000 0.854
Er: 0.220 0.853 0.367
Er: 0.486 0.853 0.633
Tm: 0.464 0.649 0.815
Tm: 0.770 0.270 0.500
Tm: 0.834 0.649 0.185
Ni: 0.079 0.342 0.738
Ni: 0.604 0.342 0.262
Te: 0.107 0.607 0.500
Te: 0.505 0.505 0.000

Record 8
A relaxed Dy4ErTm2Ni2Te2 crystal, computed with PBE-GGA.

Distance to the lowest polymorph of the same formula in kJ/mol of formula units: 8
DFT total energy in eV/atom: -5.157
Total magnetic moment in μB per cell: 0.01
Space-group type: Imm2 (44)

Unit cell a=9.320 b=9.320 c=9.320 alpha=156.26 beta=66.76 gamma=118.63
Positions (direct):
Dy: 0.146 0.000 0.146
Dy: 0.464 0.648 0.816
Dy: 0.832 0.648 0.184
Dy: 0.854 0.000 0.854
Er: 0.769 0.269 0.500
Tm: 0.219 0.852 0.367
Tm: 0.485 0.852 0.633
Ni: 0.080 0.341 0.739
Ni: 0.602 0.341 0.261
Te: 0.110 0.610 0.500
Te: 0.502 0.502 0.000

Record 9
A relaxed Dy4Er2TmNi2Te2 crystal, computed with PBE-GGA.

Distance to the lowest polymorph of the same formula in kJ/mol of formula units: 5
DFT total energy in eV/atom: -5.163
Total magnetic moment in μB per cell: 0.01
Space-group type: Imm2 (44)

Unit cell a=9.334 b=9.334 c=9.334 alpha=156.25 beta=66.87 gamma=118.52
Positions (direct):
Dy: 0.146 0.000 0.146
Dy: 0.464 0.649 0.815
Dy: 0.834 0.649 0.185
Dy: 0.854 0.000 0.854
Er: 0.220 0.853 0.367
Er: 0.486 0.853 0.633
Tm: 0.770 0.270 0.500
Ni: 0.080 0.342 0.738
Ni: 0.604 0.342 0.262
Te: 0.108 0.608 0.500
Te: 0.505 0.505 0.000

Record 10
A relaxed Dy2Er2Tm3Ni2Te2 crystal, computed with PBE-GGA.

Distance to the lowest polymorph of the same formula in kJ/mol of formula units: 9
DFT total energy in eV/atom: -5.140
Total magnetic moment in μB per cell: 0.01
Space-group type: Imm2 (44)

Unit cell a=9.281 b=9.281 c=9.281 alpha=156.23 beta=66.98 gamma=118.42
Positions (direct):
Dy: 0.185 0.000 0.185
Dy: 0.815 0.000 0.815
Er: 0.205 0.351 0.854
Er: 0.497 0.351 0.146
Tm: 0.121 0.621 0.500
Tm: 0.571 0.204 0.367
Tm: 0.837 0.204 0.633
Ni: 0.431 0.693 0.738
Ni: 0.956 0.693 0.262
Te: 0.459 0.959 0.500
Te: 0.855 0.855 0.000

Record 11
A relaxed DyEr4Tm2Ni2Te2 crystal, computed with PBE-GGA.

Distance to the lowest polymorph of the same formula in kJ/mol of formula units: 3
DFT total energy in eV/atom: -5.157
Total magnetic moment in μB per cell: 0.01
Space-group type: Imm2 (44)

Unit cell a=9.271 b=9.271 c=9.271 alpha=156.18 beta=66.94 gamma=118.48
Positions (direct):
Dy: 0.000 0.000 0.000
Er: 0.064 0.378 0.685
Er: 0.083 0.730 0.353
Er: 0.377 0.730 0.647
Er: 0.693 0.378 0.315
Tm: 0.449 0.582 0.866
Tm: 0.716 0.582 0.134
Ni: 0.310 0.072 0.238
Ni: 0.834 0.072 0.762
Te: 0.339 0.339 0.000
Te: 0.733 0.233 0.500

Record 12
A relaxed Dy2Er2Tm3Ni2Te2 crystal, computed with PBE-GGA.

Distance to the lowest polymorph of the same formula in kJ/mol of formula units: 6
DFT total energy in eV/atom: -5.143
Total magnetic moment in μB per cell: 0.01
Space-group type: Imm2 (44)

Unit cell a=9.268 b=9.268 c=9.268 alpha=156.20 beta=66.89 gamma=118.53
Positions (direct):
Dy: 0.133 0.000 0.133
Dy: 0.867 0.000 0.867
Er: 0.111 0.796 0.315
Er: 0.482 0.796 0.685
Tm: 0.417 0.417 0.000
Tm: 0.501 0.147 0.354
Tm: 0.794 0.147 0.646
Ni: 0.252 0.489 0.763
Ni: 0.726 0.489 0.237
Te: 0.152 0.652 0.500
Te: 0.754 0.754 0.000

Record 13
A relaxed Dy4ErTm2Ni2Te2 crystal, computed with PBE-GGA.

Distance to the lowest polymorph of the same formula in kJ/mol of formula units: 0
DFT total energy in eV/atom: -5.165
Total magnetic moment in μB per cell: 0.01
Space-group type: Imm2 (44)

Unit cell a=9.330 b=9.330 c=9.330 alpha=156.24 beta=66.76 gamma=118.64
Positions (direct):
Dy: 0.133 0.000 0.133
Dy: 0.501 0.147 0.354
Dy: 0.794 0.147 0.646
Dy: 0.867 0.000 0.867
Er: 0.417 0.417 0.000
Tm: 0.111 0.796 0.315
Tm: 0.481 0.796 0.685
Ni: 0.251 0.489 0.763
Ni: 0.726 0.489 0.237
Te: 0.153 0.653 0.500
Te: 0.754 0.754 0.000

Record 14
A relaxed DyEr4Tm2Ni2Te2 crystal, computed with PBE-GGA.

Distance to the lowest polymorph of the same formula in kJ/mol of formula units: 4
DFT total energy in eV/atom: -5.156
Total magnetic moment in μB per cell: 0.01
Space-group type: Imm2 (44)

Unit cell a=9.268 b=9.268 c=9.268 alpha=156.18 beta=66.90 gamma=118.52
Positions (direct):
Dy: 0.000 0.000 0.000
Er: 0.065 0.379 0.685
Er: 0.450 0.583 0.867
Er: 0.694 0.379 0.315
Er: 0.716 0.583 0.133
Tm: 0.084 0.730 0.354
Tm: 0.377 0.730 0.646
Ni: 0.310 0.072 0.238
Ni: 0.835 0.072 0.762
Te: 0.337 0.337 0.000
Te: 0.735 0.235 0.500

Record 15
A relaxed Dy2Er2Tm3Ni2Te2 crystal, computed with PBE-GGA.

Distance to the lowest polymorph of the same formula in kJ/mol of formula units: 3
DFT total energy in eV/atom: -5.145
Total magnetic moment in μB per cell: 0.01
Space-group type: Imm2 (44)

Unit cell a=9.273 b=9.273 c=9.273 alpha=156.19 beta=66.91 gamma=118.51
Positions (direct):
Dy: 0.146 0.000 0.146
Dy: 0.854 0.000 0.854
Er: 0.464 0.649 0.815
Er: 0.834 0.649 0.185
Tm: 0.219 0.853 0.367
Tm: 0.486 0.853 0.633
Tm: 0.770 0.270 0.500
Ni: 0.079 0.342 0.738
Ni: 0.604 0.342 0.262
Te: 0.107 0.607 0.500
Te: 0.505 0.505 0.000

Record 16
A relaxed Dy4Er2TmNi2Te2 crystal, computed with PBE-GGA.

Distance to the lowest polymorph of the same formula in kJ/mol of formula units: 6
DFT total energy in eV/atom: -5.162
Total magnetic moment in μB per cell: 0.00
Space-group type: Imm2 (44)

Unit cell a=9.334 b=9.334 c=9.334 alpha=156.31 beta=66.88 gamma=118.48
Positions (direct):
Dy: 0.112 0.797 0.315
Dy: 0.133 0.000 0.133
Dy: 0.482 0.797 0.685
Dy: 0.867 0.000 0.867
Er: 0.501 0.147 0.354
Er: 0.793 0.147 0.646
Tm: 0.418 0.418 0.000
Ni: 0.254 0.490 0.763
Ni: 0.727 0.490 0.237
Te: 0.154 0.654 0.500
Te: 0.754 0.754 0.000

Record 17
A relaxed Dy4Er2TmNi2Te2 crystal, computed with PBE-GGA.

Distance to the lowest polymorph of the same formula in kJ/mol of formula units: 0
DFT total energy in eV/atom: -5.168
Total magnetic moment in μB per cell: 0.01
Space-group type: Imm2 (44)

Unit cell a=9.337 b=9.337 c=9.337 alpha=156.29 beta=66.98 gamma=118.39
Positions (direct):
Dy: 0.133 0.000 0.133
Dy: 0.501 0.147 0.354
Dy: 0.793 0.147 0.646
Dy: 0.867 0.000 0.867
Er: 0.113 0.797 0.315
Er: 0.482 0.797 0.685
Tm: 0.418 0.418 0.000
Ni: 0.252 0.489 0.763
Ni: 0.726 0.489 0.237
Te: 0.155 0.655 0.500
Te: 0.754 0.754 0.000

Record 18
A relaxed DyEr4Tm2Ni2Te2 crystal, computed with PBE-GGA.

Distance to the lowest polymorph of the same formula in kJ/mol of formula units: 0
DFT total energy in eV/atom: -5.160
Total magnetic moment in μB per cell: 0.01
Space-group type: Imm2 (44)

Unit cell a=9.268 b=9.268 c=9.268 alpha=156.18 beta=66.90 gamma=118.52
Positions (direct):
Dy: 0.000 0.000 0.000
Er: 0.084 0.730 0.354
Er: 0.377 0.730 0.646
Er: 0.450 0.583 0.867
Er: 0.716 0.583 0.133
Tm: 0.065 0.379 0.685
Tm: 0.694 0.379 0.315
Ni: 0.310 0.072 0.238
Ni: 0.834 0.072 0.762
Te: 0.337 0.337 0.000
Te: 0.735 0.235 0.500

Record 19
A relaxed Dy2Er2Tm3Ni2Te2 crystal, computed with PBE-GGA.

Distance to the lowest polymorph of the same formula in kJ/mol of formula units: 1
DFT total energy in eV/atom: -5.148
Total magnetic moment in μB per cell: 0.01
Space-group type: Imm2 (44)

Unit cell a=9.290 b=9.290 c=9.290 alpha=156.24 beta=67.00 gamma=118.39
Positions (direct):
Dy: 0.133 0.000 0.133
Dy: 0.867 0.000 0.867
Er: 0.500 0.147 0.354
Er: 0.793 0.147 0.646
Tm: 0.112 0.797 0.315
Tm: 0.418 0.418 0.000
Tm: 0.482 0.797 0.685
Ni: 0.253 0.489 0.763
Ni: 0.726 0.489 0.237
Te: 0.154 0.654 0.500
Te: 0.754 0.754 0.000

Record 20
A relaxed Dy2YEr2Tm2Ni2Te2 crystal, computed with PBE-GGA.

Distance to the lowest polymorph of the same formula in kJ/mol of formula units: 10
DFT total energy in eV/atom: -5.332
Total magnetic moment in μB per cell: 0.01
Space-group type: Imm2 (44)

Unit cell a=9.328 b=9.328 c=9.328 alpha=156.24 beta=66.89 gamma=118.51
Positions (direct):
Dy: 0.185 0.000 0.185
Dy: 0.815 0.000 0.815
Y: 0.880 0.380 0.500
Er: 0.502 0.649 0.853
Er: 0.796 0.649 0.147
Tm: 0.165 0.798 0.368
Tm: 0.430 0.798 0.632
Ni: 0.046 0.307 0.739
Ni: 0.569 0.307 0.261
Te: 0.146 0.146 0.000
Te: 0.543 0.043 0.500

Record 21
A relaxed Dy2YEr2Tm2Ni2Te2 crystal, computed with PBE-GGA.

Distance to the lowest polymorph of the same formula in kJ/mol of formula units: 11
DFT total energy in eV/atom: -5.330
Total magnetic moment in μB per cell: 0.01
Space-group type: Imm2 (44)

Unit cell a=9.295 b=9.295 c=9.295 alpha=156.24 beta=66.91 gamma=118.48
Positions (direct):
Dy: 0.185 0.000 0.185
Dy: 0.815 0.000 0.815
Y: 0.880 0.380 0.500
Er: 0.166 0.798 0.368
Er: 0.430 0.798 0.632
Tm: 0.502 0.649 0.853
Tm: 0.796 0.649 0.147
Ni: 0.046 0.308 0.738
Ni: 0.569 0.308 0.262
Te: 0.145 0.145 0.000
Te: 0.544 0.044 0.500